Entry 1:
12
Lattice="2.881 -4.996 0.000 2.881 4.996 0.000 -1.908 0.000 5.599" Properties=species:S:1:pos:R:3 comment="Na3TbIn2O6, optimized geometry, DFT PBE" formation_energy_uncorrected_mev_per_atom=-1997 magnetic_moment_mub_per_atom=0.00 dos_ef_per_ev_cell=0.00 volume_a3_per_atom=13.4 spacegroup="No. 12" pbc="T T T"
Na 0.000 0.000 0.000
Na 2.881 1.724 0.000
Na 2.881 -1.724 0.000
Tb 1.927 0.000 2.799
In 1.927 3.333 2.799
In 1.927 -3.333 2.799
O 0.941 1.708 1.597
O -0.044 0.000 4.012
O 0.941 -1.708 1.597
O 2.914 1.708 4.002
O 3.898 0.000 1.587
O 2.914 -1.708 4.002

Entry 2:
5
Lattice="6.464 0.000 0.000 0.000 6.464 0.000 0.000 0.000 6.473" Properties=species:S:1:pos:R:3 comment="KTePdI2, optimized geometry, DFT PBE" formation_energy_uncorrected_mev_per_atom=642 magnetic_moment_mub_per_atom=0.62 dos_ef_per_ev_cell=13.66 volume_a3_per_atom=54.1 spacegroup="No. 123" pbc="T T T"
K 0.000 0.000 0.000
Te 0.000 0.000 3.236
Pd 3.232 3.232 3.236
I 0.000 3.232 0.000
I 3.232 0.000 0.000

Entry 3:
5
Lattice="4.585 0.000 0.000 0.000 4.585 0.000 0.000 0.000 4.585" Properties=species:S:1:pos:R:3 comment="Fe3RhAu, optimized geometry, DFT PBE" magnetic_moment_mub_per_atom=2.08 dos_ef_per_ev_cell=6.06 volume_a3_per_atom=19.3 spacegroup="No. 221" e_form_ev_per_atom=1.145 pbc="T T T"
Fe 0.000 0.000 2.292
Fe 0.000 2.292 0.000
Fe 2.292 0.000 0.000
Rh 0.000 0.000 0.000
Au 2.292 2.292 2.292

Entry 4:
6
Lattice="5.275 -1.973 0.000 5.275 1.973 0.000 -4.543 0.000 5.265" Properties=species:S:1:pos:R:3 comment="NdHS, optimized geometry, DFT PBE" magnetic_moment_mub_per_atom=0.00 dos_ef_per_ev_cell=0.00 volume_a3_per_atom=18.3 spacegroup="No. 12" final_energy_ev_per_cell=-32.367 pbc="T T T"
Nd 1.485 0.000 1.033
Nd 4.522 0.000 4.232
H -1.758 0.000 4.406
H 7.765 0.000 0.859
S 1.497 0.000 3.858
S 4.510 0.000 1.406

Entry 5:
12
Lattice="-3.720 8.411 3.727 3.720 -8.411 3.727 3.720 8.411 -3.727" Properties=species:S:1:pos:R:3 comment="Cs2Sb2PdPb, optimized geometry, DFT PBE" formation_energy_uncorrected_mev_per_atom=-335 magnetic_moment_mub_per_atom=0.00 dos_ef_per_ev_cell=5.72 volume_a3_per_atom=38.9 spacegroup="No. 72" pbc="T T T"
Cs 1.797 2.879 0.000
Cs 1.797 -2.879 3.727
Cs 1.923 11.290 0.000
Cs 1.923 5.531 3.727
Sb 5.216 1.308 0.000
Sb 1.496 7.103 0.000
Sb 2.224 1.308 3.727
Sb -1.496 7.103 3.727
Pd 3.720 0.000 1.864
Pd 0.000 8.411 1.864
Pb 0.000 0.000 1.864
Pb 0.000 0.000 5.591

Entry 6:
8
Lattice="-2.166 2.166 8.227 2.166 -2.166 8.227 2.166 2.166 -8.227" Properties=species:S:1:pos:R:3 comment="InRh2Se, optimized geometry, DFT PBE" formation_energy_uncorrected_mev_per_atom=-47 magnetic_moment_mub_per_atom=0.00 dos_ef_per_ev_cell=7.59 volume_a3_per_atom=19.3 spacegroup="No. 122" pbc="T T T"
In 0.000 0.000 0.000
In 0.000 2.166 4.113
Rh 1.083 -0.840 6.170
Rh 1.327 1.083 2.057
Rh 1.083 3.006 -2.057
Rh 0.840 1.083 10.283
Se 2.166 0.000 4.113
Se 0.000 0.000 8.227

Entry 7:
14
Lattice="7.463 -3.151 0.000 7.463 3.151 0.000 -1.095 0.000 7.646" Properties=species:S:1:pos:R:3 comment="Nd2Cl5, optimized geometry, DFT PBE" formation_energy_uncorrected_mev_per_atom=-2085 magnetic_moment_mub_per_atom=0.09 dos_ef_per_ev_cell=5.22 volume_a3_per_atom=25.7 spacegroup="No. 15" pbc="T T T"
Nd 4.921 1.823 6.988
Nd 8.362 1.823 4.480
Nd 5.468 -1.823 3.165
Nd 8.910 -1.823 0.658
Cl 7.189 2.548 1.911
Cl 2.355 0.457 6.396
Cl 5.575 0.799 4.405
Cl 2.902 -0.457 2.573
Cl 7.708 0.799 7.064
Cl 6.122 -0.799 0.582
Cl 10.928 0.457 5.073
Cl 8.256 -0.799 3.241
Cl 11.475 -0.457 1.250
Cl 6.641 -2.548 5.734

Entry 8:
7
Lattice="6.095 -1.288 0.000 6.095 1.288 0.000 -3.074 0.000 5.573" Properties=species:S:1:pos:R:3 comment="Cu2Ni3Rh2, optimized geometry, DFT PBE" magnetic_moment_mub_per_atom=0.36 dos_ef_per_ev_cell=9.08 volume_a3_per_atom=12.5 spacegroup="No. 12" e_form_ev_per_atom=0.115 pbc="T T T"
Cu 0.680 0.000 1.853
Cu 8.436 0.000 3.720
Ni 5.038 0.000 0.428
Ni 4.558 0.000 2.786
Ni 4.078 0.000 5.145
Rh 0.043 0.000 4.373
Rh 9.074 0.000 1.200

Entry 9:
4
Lattice="-2.062 2.062 4.301 2.062 -2.062 4.301 2.062 2.062 -4.301" Properties=species:S:1:pos:R:3 comment="TaCd2P, optimized geometry, DFT PBE" magnetic_moment_mub_per_atom=0.00 dos_ef_per_ev_cell=0.89 volume_a3_per_atom=18.3 spacegroup="No. 119" e_form_ev_per_atom=0.343 pbc="T T T"
Ta 0.000 0.000 0.000
Cd 2.062 0.000 2.150
Cd 0.000 0.000 4.301
P 0.000 2.062 2.150

Entry 10:
4
Lattice="0.000 3.495 3.495 3.495 0.000 3.495 3.495 3.495 0.000" Properties=species:S:1:pos:R:3 comment="NaScTi2, optimized geometry, DFT PBE" magnetic_moment_mub_per_atom=0.64 dos_ef_per_ev_cell=8.67 volume_a3_per_atom=21.3 spacegroup="No. 225" e_form_ev_per_atom=0.765 pbc="T T T"
Na 0.000 0.000 0.000
Sc 3.495 3.495 3.495
Ti 1.747 1.747 1.747
Ti 5.242 5.242 5.242

Entry 11:
9
Lattice="-3.361 3.361 4.893 3.361 -3.361 4.893 3.361 3.361 -4.893" Properties=species:S:1:pos:R:3 comment="NaAg4Cl4, optimized geometry, DFT PBE" formation_energy_uncorrected_mev_per_atom=-445 magnetic_moment_mub_per_atom=0.00 dos_ef_per_ev_cell=2.61 volume_a3_per_atom=24.6 spacegroup="No. 121" pbc="T T T"
Na 0.000 0.000 0.000
Ag 3.361 0.000 0.000
Ag 0.000 0.000 3.499
Ag 0.000 3.361 0.000
Ag 0.000 0.000 6.287
Cl 1.872 -1.872 3.400
Cl 1.489 1.489 1.492
Cl -1.872 1.872 3.400
Cl 1.872 1.872 6.385

Entry 12:
10
Lattice="7.960 0.000 0.000 0.000 5.625 0.000 -0.411 0.000 7.977" Properties=species:S:1:pos:R:3 comment="RbTlCl3, optimized geometry, DFT PBE" formation_energy_uncorrected_mev_per_atom=-1267 magnetic_moment_mub_per_atom=0.00 dos_ef_per_ev_cell=0.00 volume_a3_per_atom=35.7 spacegroup="No. 6" pbc="T T T"
Rb 0.000 0.000 0.000
Rb 3.075 0.000 3.892
Tl 3.221 2.813 7.638
Tl 7.096 2.813 3.763
Cl -0.063 0.000 3.252
Cl 0.897 2.813 6.426
Cl 2.434 2.813 1.921
Cl 3.118 0.000 7.528
Cl 4.352 2.813 5.299
Cl 5.978 2.813 0.739

Entry 13:
10
Lattice="3.558 2.054 6.143 -3.558 2.054 6.143 0.000 -4.108 6.143" Properties=species:S:1:pos:R:3 comment="La2DyTmS6, optimized geometry, DFT PBE" formation_energy_uncorrected_mev_per_atom=-2109 magnetic_moment_mub_per_atom=0.00 dos_ef_per_ev_cell=0.00 volume_a3_per_atom=26.9 spacegroup="No. 146" pbc="T T T"
La 0.000 0.000 0.000
La 0.000 0.000 9.205
Dy 0.000 0.000 5.337
Tm 0.000 0.000 14.567
S -1.234 -1.712 7.138
S -2.686 -0.160 10.196
S -0.866 1.925 7.138
S 1.481 -2.246 10.196
S 2.100 -0.213 7.138
S 1.204 2.406 10.196

Entry 14:
5
Lattice="4.935 0.000 0.000 0.000 4.935 0.000 0.000 0.000 5.251" Properties=species:S:1:pos:R:3 comment="FeTe2AuI, optimized geometry, DFT PBE" formation_energy_uncorrected_mev_per_atom=514 magnetic_moment_mub_per_atom=0.00 dos_ef_per_ev_cell=4.60 volume_a3_per_atom=25.6 spacegroup="No. 123" pbc="T T T"
Fe 0.000 0.000 0.000
Te 0.000 2.467 0.000
Te 2.467 0.000 0.000
Au 0.000 0.000 2.626
I 2.467 2.467 2.626

Entry 15:
6
Lattice="2.089 -8.839 0.000 2.089 8.839 0.000 0.000 0.000 6.754" Properties=species:S:1:pos:R:3 comment="Sr2Br, optimized geometry, DFT PBE" formation_energy_uncorrected_mev_per_atom=-961 magnetic_moment_mub_per_atom=0.00 dos_ef_per_ev_cell=5.98 volume_a3_per_atom=41.6 spacegroup="No. 63" pbc="T T T"
Sr 2.089 7.830 5.065
Sr 2.089 2.627 5.065
Sr 2.089 -2.627 1.688
Sr 2.089 -7.830 1.688
Br 2.089 3.665 1.688
Br 2.089 -3.665 5.065

Entry 16:
4
Lattice="2.853 0.000 0.000 0.000 2.853 0.000 0.000 0.000 8.965" Properties=species:S:1:pos:R:3 comment="CaRuW2, optimized geometry, DFT PBE" magnetic_moment_mub_per_atom=0.00 dos_ef_per_ev_cell=4.85 volume_a3_per_atom=18.2 spacegroup="No. 123" e_form_ev_per_atom=0.597 pbc="T T T"
Ca 0.000 0.000 0.000
Ru 0.000 0.000 4.483
W 1.426 1.426 2.661
W 1.426 1.426 6.304

Entry 17:
10
Lattice="10.115 -2.132 0.000 10.115 2.132 0.000 -2.597 0.000 8.852" Properties=species:S:1:pos:R:3 comment="Ac4NiBr5, optimized geometry, DFT PBE" formation_energy_uncorrected_mev_per_atom=-1393 magnetic_moment_mub_per_atom=0.00 dos_ef_per_ev_cell=4.35 volume_a3_per_atom=38.2 spacegroup="No. 12" pbc="T T T"
Ac -0.675 0.000 2.531
Ac 5.996 0.000 3.445
Ac 11.637 0.000 5.407
Ac 18.308 0.000 6.321
Ni 8.817 0.000 4.426
Br 1.045 0.000 7.722
Br 2.619 0.000 3.171
Br 10.115 0.000 0.000
Br 15.014 0.000 5.682
Br 16.588 0.000 1.131

Entry 18:
18
Lattice="4.554 2.629 4.394 -4.554 2.629 4.394 0.000 -5.259 4.394" Properties=species:S:1:pos:R:3 comment="TmTh2As3Rh12, optimized geometry, DFT PBE" magnetic_moment_mub_per_atom=0.00 dos_ef_per_ev_cell=14.85 volume_a3_per_atom=17.5 spacegroup="No. 166" e_form_ev_per_atom=-0.424 pbc="T T T"
Tm 0.000 0.000 0.000
Th 0.000 0.000 4.633
Th 0.000 0.000 8.548
As -4.554 0.000 6.591
As -2.277 1.315 2.197
As 2.277 1.315 2.197
Rh -2.346 -1.354 5.933
Rh 0.000 -2.568 4.613
Rh -2.224 1.284 4.613
Rh -2.224 -1.284 8.569
Rh 0.000 -2.709 7.248
Rh -2.346 1.354 7.248
Rh 2.346 -1.354 5.933
Rh 0.000 2.709 5.933
Rh 2.224 1.284 4.613
Rh 2.224 -1.284 8.569
Rh 0.000 2.568 8.569
Rh 2.346 1.354 7.248

Entry 19:
3
Lattice="-1.675 1.675 5.545 1.675 -1.675 5.545 1.675 1.675 -5.545" Properties=species:S:1:pos:R:3 comment="LiCaFe, optimized geometry, DFT PBE" magnetic_moment_mub_per_atom=0.77 dos_ef_per_ev_cell=2.83 volume_a3_per_atom=20.7 spacegroup="No. 107" e_form_ev_per_atom=0.473 pbc="T T T"
Li 0.000 0.000 0.000
Ca 0.000 0.000 3.194
Fe 0.000 0.000 6.758

Entry 20:
5
Lattice="4.814 0.000 0.000 0.000 4.814 0.000 0.000 0.000 4.833" Properties=species:S:1:pos:R:3 comment="Na2LaSbO, optimized geometry, DFT PBE" formation_energy_uncorrected_mev_per_atom=-1470 magnetic_moment_mub_per_atom=0.00 dos_ef_per_ev_cell=0.50 volume_a3_per_atom=22.4 spacegroup="No. 123" pbc="T T T"
Na 0.000 2.407 0.000
Na 2.407 0.000 0.000
La 0.000 0.000 2.416
Sb 2.407 2.407 2.416
O 0.000 0.000 0.000

Entry 21:
10
Lattice="4.841 2.795 3.859 -4.841 2.795 3.859 0.000 -5.590 3.859" Properties=species:S:1:pos:R:3 comment="Dy3Ho6Sc, optimized geometry, DFT PBE" magnetic_moment_mub_per_atom=0.00 dos_ef_per_ev_cell=19.86 volume_a3_per_atom=31.3 spacegroup="No. 146" e_form_ev_per_atom=0.250 pbc="T T T"
Dy 0.000 0.000 0.000
Dy 0.000 0.000 2.862
Dy 0.000 0.000 8.566
Ho -3.130 0.004 4.644
Ho -1.616 -2.731 6.577
Ho 1.562 -2.712 4.644
Ho -1.557 2.765 6.577
Ho 1.568 2.709 4.644
Ho 3.173 -0.034 6.577
Sc 0.000 0.000 5.749

Entry 22:
5
Lattice="5.864 0.000 0.000 0.000 5.864 0.000 0.000 0.000 4.316" Properties=species:S:1:pos:R:3 comment="Sr2CrPOs, optimized geometry, DFT PBE" magnetic_moment_mub_per_atom=1.10 dos_ef_per_ev_cell=5.94 volume_a3_per_atom=29.7 spacegroup="No. 123" e_form_ev_per_atom=0.962 pbc="T T T"
Sr 0.000 2.932 0.000
Sr 2.932 0.000 0.000
Cr 0.000 0.000 0.000
P 0.000 0.000 2.158
Os 2.932 2.932 2.158

Entry 23:
8
Lattice="-3.084 3.084 6.011 3.084 -3.084 6.011 3.084 3.084 -6.011" Properties=species:S:1:pos:R:3 comment="BiMoAs2, optimized geometry, DFT PBE" magnetic_moment_mub_per_atom=0.00 dos_ef_per_ev_cell=9.47 volume_a3_per_atom=28.6 spacegroup="No. 122" e_form_ev_per_atom=0.385 pbc="T T T"
Bi 0.000 0.000 0.000
Bi 0.000 3.084 3.006
Mo 3.084 0.000 3.006
Mo 0.000 0.000 6.011
As 1.542 -1.135 4.508
As 1.949 1.542 1.503
As 1.542 4.218 -1.503
As 1.135 1.542 7.514

Entry 24:
11
Lattice="9.142 -2.537 0.000 9.142 2.537 0.000 -2.116 0.000 7.745" Properties=species:S:1:pos:R:3 comment="Tb8Nd2Sm, optimized geometry, DFT PBE" magnetic_moment_mub_per_atom=0.00 dos_ef_per_ev_cell=15.69 volume_a3_per_atom=32.7 spacegroup="No. 12" e_form_ev_per_atom=0.017 pbc="T T T"
Tb 0.337 0.000 1.759
Tb 1.043 0.000 5.261
Tb 4.572 0.000 4.585
Tb 7.400 0.000 0.353
Tb 8.768 0.000 7.392
Tb 11.596 0.000 3.160
Tb 15.125 0.000 2.484
Tb 15.831 0.000 5.986
Nd 3.865 0.000 1.062
Nd 12.303 0.000 6.683
Sm 8.084 0.000 3.872

Entry 25:
4
Lattice="1.933 1.116 6.160 -1.933 1.116 6.160 0.000 -2.233 6.160" Properties=species:S:1:pos:R:3 comment="LiMgZn2, optimized geometry, DFT PBE" magnetic_moment_mub_per_atom=0.00 dos_ef_per_ev_cell=1.44 volume_a3_per_atom=19.9 spacegroup="No. 160" e_form_ev_per_atom=0.109 pbc="T T T"
Li 0.000 0.000 0.000
Mg 0.000 0.000 3.193
Zn 0.000 0.000 11.031
Zn 0.000 0.000 13.754